Density functional theory data (GGA+U) for a relaxed structure of SrUMnO5.

Values from the calculation:
For the total moment, the calculation gives 5.00 μB/f.u. The value obtained for the final energy is -8.454 eV per atom.

Structure (CIF):
```
data_SrUMnO5
_cell_length_a 7.3912
_cell_length_b 9.8400
_cell_length_c 8.1817
_cell_angle_alpha 90.00
_cell_angle_beta 116.74
_cell_angle_gamma 90.00
_symmetry_space_group_name_H-M 'C 1 2/c 1'
_symmetry_Int_Tables_number 15
loop_
_symmetry_equiv_pos_as_xyz
'x,y,z'
'-x,-y,-z'
'-x,y,-z+1/2'
'x,-y,z+1/2'
'x+1/2,y+1/2,z'
'-x+1/2,-y+1/2,-z'
'-x+1/2,y+1/2,-z+1/2'
'x+1/2,-y+1/2,z+1/2'
loop_
_atom_site_label
_atom_site_fract_x
_atom_site_fract_y
_atom_site_fract_z
_atom_site_occupancy
Sr1 0.0000 0.1772 0.2500 1
U1 0.0000 0.5000 0.0000 1
Mn1 0.0000 0.1891 0.7500 1
O1 0.0000 0.4325 0.2500 1
O2 0.0906 0.2981 0.5866 1
O3 0.2018 0.0424 0.9017 1
```